This record from the Alexandria database describes NaTlGe4 after structural relaxation. The functional is PBE.

Structure (CIF):
```
data_NaTlGe4
_space_group_name_H-M_alt 'P 1'
_space_group_IT_number 1
_cell_length_a 5.731
_cell_length_b 5.731
_cell_length_c 5.731
_cell_angle_alpha 60.00
_cell_angle_beta 60.00
_cell_angle_gamma 60.00
loop_
_space_group_symop_operation_xyz
'x,y,z'
loop_
_atom_site_label
_atom_site_type_symbol
_atom_site_fract_x
_atom_site_fract_y
_atom_site_fract_z
Na1 Na 0.000 0.000 0.000
Tl1 Tl 0.750 0.750 0.750
Ge1 Ge 0.374 0.374 0.374
Ge2 Ge 0.374 0.374 0.877
Ge3 Ge 0.374 0.877 0.374
Ge4 Ge 0.877 0.374 0.374
```

***

# Na2TlGe (PBE, relaxed)
# offset from the most stable computed form	0	meV per atom
data_Na2TlGe
_space_group_name_H-M_alt 'P 1'
_space_group_IT_number 1
_cell_length_a 8.057
_cell_length_b 5.982
_cell_length_c 11.751
_cell_angle_alpha 90.00
_cell_angle_beta 129.38
_cell_angle_gamma 90.00
loop_
_space_group_symop_operation_xyz
'x,y,z'
loop_
_atom_site_label
_atom_site_type_symbol
_atom_site_fract_x
_atom_site_fract_y
_atom_site_fract_z
Na1 Na 0.134 0.241 0.068
Na2 Na 0.134 0.259 0.568
Na3 Na 0.205 0.602 0.325
Na4 Na 0.205 0.898 0.825
Na5 Na 0.795 0.102 0.175
Na6 Na 0.795 0.398 0.675
Na7 Na 0.866 0.741 0.432
Na8 Na 0.866 0.759 0.932
Tl1 Tl 0.385 0.746 0.154
Tl2 Tl 0.385 0.754 0.654
Tl3 Tl 0.615 0.246 0.346
Tl4 Tl 0.615 0.254 0.846
Ge1 Ge 0.333 0.109 0.424
Ge2 Ge 0.333 0.391 0.924
Ge3 Ge 0.667 0.609 0.076
Ge4 Ge 0.667 0.891 0.576

***

# Na2Tl2Ge (PBE, relaxed)
# offset from the most stable computed form	0	meV per atom
data_Na2Tl2Ge
_space_group_name_H-M_alt 'P 1'
_space_group_IT_number 1
_cell_length_a 7.614
_cell_length_b 7.614
_cell_length_c 4.988
_cell_angle_alpha 90.00
_cell_angle_beta 90.00
_cell_angle_gamma 90.00
loop_
_space_group_symop_operation_xyz
'x,y,z'
loop_
_atom_site_label
_atom_site_type_symbol
_atom_site_fract_x
_atom_site_fract_y
_atom_site_fract_z
Na1 Na 0.170 0.330 0.000
Na2 Na 0.330 0.830 0.000
Na3 Na 0.670 0.170 0.000
Na4 Na 0.830 0.670 0.000
Tl1 Tl 0.143 0.643 0.500
Tl2 Tl 0.357 0.143 0.500
Tl3 Tl 0.643 0.857 0.500
Tl4 Tl 0.857 0.357 0.500
Ge1 Ge 0.000 0.000 0.500
Ge2 Ge 0.500 0.500 0.500

***

# Na2Tl2Ge (PBE, relaxed)
# offset from the most stable computed form	108	meV per atom
data_Na2Tl2Ge
_space_group_name_H-M_alt 'P 1'
_space_group_IT_number 1
_cell_length_a 7.531
_cell_length_b 7.531
_cell_length_c 4.812
_cell_angle_alpha 90.00
_cell_angle_beta 90.00
_cell_angle_gamma 90.00
loop_
_space_group_symop_operation_xyz
'x,y,z'
loop_
_atom_site_label
_atom_site_type_symbol
_atom_site_fract_x
_atom_site_fract_y
_atom_site_fract_z
Na1 Na 0.141 0.359 0.000
Na2 Na 0.359 0.859 0.000
Na3 Na 0.641 0.141 0.000
Na4 Na 0.859 0.641 0.000
Tl1 Tl 0.173 0.673 0.500
Tl2 Tl 0.327 0.173 0.500
Tl3 Tl 0.673 0.827 0.500
Tl4 Tl 0.827 0.327 0.500
Ge1 Ge 0.000 0.000 0.000
Ge2 Ge 0.500 0.500 0.000

***

This record from the Alexandria database describes NaTlVGe2 after structural relaxation. The functional is PBE.

Structure (CIF):
```
data_NaTlVGe2
_space_group_name_H-M_alt 'P 1'
_space_group_IT_number 1
_cell_length_a 5.395
_cell_length_b 5.395
_cell_length_c 5.265
_cell_angle_alpha 90.00
_cell_angle_beta 90.00
_cell_angle_gamma 90.00
loop_
_space_group_symop_operation_xyz
'x,y,z'
loop_
_atom_site_label
_atom_site_type_symbol
_atom_site_fract_x
_atom_site_fract_y
_atom_site_fract_z
Na1 Na 0.000 0.000 0.000
Tl1 Tl 0.500 0.500 0.500
V1 V 0.500 0.500 0.000
Ge1 Ge 0.000 0.500 0.500
Ge2 Ge 0.500 0.000 0.500
```

***

This record from the Alexandria database describes Na2VGe4 after structural relaxation. The functional is PBE.

Structure (CIF):
```
data_Na2VGe4
_space_group_name_H-M_alt 'P 1'
_space_group_IT_number 1
_cell_length_a 8.170
_cell_length_b 8.170
_cell_length_c 8.170
_cell_angle_alpha 146.07
_cell_angle_beta 146.07
_cell_angle_gamma 48.74
loop_
_space_group_symop_operation_xyz
'x,y,z'
loop_
_atom_site_label
_atom_site_type_symbol
_atom_site_fract_x
_atom_site_fract_y
_atom_site_fract_z
Na1 Na 0.145 0.145 0.000
Na2 Na 0.855 0.855 0.000
V1 V 0.500 0.500 0.000
Ge1 Ge 0.000 0.500 0.500
Ge2 Ge 0.339 0.339 0.000
Ge3 Ge 0.500 0.000 0.500
Ge4 Ge 0.661 0.661 0.000
```

***

# NaVGe2 (PBE, relaxed)
# offset from the most stable computed form	239	meV per atom
data_NaVGe2
_space_group_name_H-M_alt 'P 1'
_space_group_IT_number 1
_cell_length_a 4.631
_cell_length_b 4.631
_cell_length_c 4.631
_cell_angle_alpha 60.00
_cell_angle_beta 60.00
_cell_angle_gamma 60.00
loop_
_space_group_symop_operation_xyz
'x,y,z'
loop_
_atom_site_label
_atom_site_type_symbol
_atom_site_fract_x
_atom_site_fract_y
_atom_site_fract_z
Na1 Na 0.000 0.000 0.000
V1 V 0.500 0.500 0.500
Ge1 Ge 0.250 0.250 0.250
Ge2 Ge 0.750 0.750 0.750

***

This record from the Alexandria database describes NaV2Ge after structural relaxation. The functional is PBE.

Structure (CIF):
```
data_NaV2Ge
_space_group_name_H-M_alt 'P 1'
_space_group_IT_number 1
_cell_length_a 9.761
_cell_length_b 9.761
_cell_length_c 9.761
_cell_angle_alpha 155.43
_cell_angle_beta 155.43
_cell_angle_gamma 35.02
loop_
_space_group_symop_operation_xyz
'x,y,z'
loop_
_atom_site_label
_atom_site_type_symbol
_atom_site_fract_x
_atom_site_fract_y
_atom_site_fract_z
Na1 Na 0.000 0.000 0.000
Na2 Na 0.750 0.250 0.500
V1 V 0.302 0.625 0.177
V2 V 0.375 0.552 0.677
V3 V 0.448 0.125 0.823
V4 V 0.875 0.698 0.323
Ge1 Ge 0.250 0.750 0.500
Ge2 Ge 0.500 0.500 0.000
```

***

| no. | total moment (μB/cell) | energy of formation (eV per formula unit) | DOS(E_F) (states/eV per atom) |
| --- | --- | --- | --- |
| 1 | 0.00 | 0.73 | 0.65 |
| 2 | 0.00 | -0.16 | 0.29 |
| 3 | 0.00 | 0.10 | 0.51 |
| 4 | 0.00 | 0.63 | 0.48 |
| 5 | 0.20 | 6.16 | 1.68 |
| 6 | 0.00 | 0.93 | 0.33 |
| 7 | 2.81 | 0.86 | 0.73 |
| 8 | 0.00 | 3.08 | 0.91 |